DFT (GGA+U) results for CrP2SO after structural relaxation.

Summary:
Density of states at the Fermi level (states/eV/cell): 4.07
Uncorrected energy (eV/atom): -4.355
E above lowest polymorph (meV/atom): 743
M_tot (μB per formula unit): 0.000

The structure in CIF format:
```
data_CrP2SO
_cell_length_a 4.4032
_cell_length_b 4.4032
_cell_length_c 4.1982
_cell_angle_alpha 90.00
_cell_angle_beta 90.00
_cell_angle_gamma 90.00
_space_group_name_H-M_alt 'P 4/m m m'
_space_group_IT_number 123
_space_group_name_Hall '-P 4 2'
loop_
_atom_site_label
_atom_site_type_symbol
_atom_site_fract_x
_atom_site_fract_y
_atom_site_fract_z
Cr1 Cr 0.0000 0.0000 0.0000
P1 P 0.0000 0.5000 0.0000
S1 S 0.0000 0.0000 0.5000
O1 O 0.5000 0.5000 0.5000
```